Entry 1:
! Al2SiBi PBE relaxed; values from VASP
! * crystal system: tetragonal
! * energy: -3.973 eV/atom
! * DOS(E_F): 0.75 states/eV/atom
! * excess energy over the best structure of this formula in the dataset: 0 meV/atom
! * E_form (uncorrected): 224.5 meV per atom
! * theoretical density: 4.32 g/cm³
&SYSTEM
  ibrav = 0, nat = 8, ntyp = 3
/
ATOMIC_SPECIES
Al 26.98 Al.upf
Si 28.09 Si.upf
Bi 208.98 Bi.upf
CELL_PARAMETERS angstrom
-1.487 -5.145 3.014
4.974 0.643 3.551
-1.422 0.926 7.143
ATOMIC_POSITIONS crystal
Al 0.174 0.625 0.250
Al 0.576 0.125 0.250
Si 0.250 0.750 0.500
Si 0.500 0.500 0.000
Al 0.875 0.826 0.750
Al 0.375 0.424 0.750
Bi 0.750 0.250 0.500
Bi 0.000 0.000 0.000

=====

Entry 2:
! MnNiPb4 PBE relaxed; values from VASP
! * crystal system: cubic
! * energy: -4.085 eV/atom
! * DOS(E_F): 1.00 states/eV/atom
! * ΔH_f (0 K): 85 kJ per mole of atoms
! * theoretical density: 8.85 g/cm³
&SYSTEM
  ibrav = 0, nat = 6, ntyp = 3
/
ATOMIC_SPECIES
Pb 207.20 Pb.upf
Mn 54.94 Mn.upf
Ni 58.69 Ni.upf
CELL_PARAMETERS angstrom
-1.615 2.033 5.739
-2.421 5.769 0.732
-6.078 0.698 1.499
ATOMIC_POSITIONS crystal
Pb 0.375 0.375 0.375
Pb 0.375 0.875 0.375
Mn 0.750 0.750 0.750
Pb 0.875 0.375 0.375
Pb 0.375 0.375 0.875
Ni 0.000 0.000 0.000

=====

Entry 3:
! GaFeAs2Br PBE relaxed; values from VASP
! * crystal system: tetragonal
! * energy: -3.562 eV/atom
! * DOS(E_F): 1.59 states/eV/atom
! * excess energy over the best structure of this formula in the dataset: 710 meV/atom
! * E_form (uncorrected): 930.1 meV per atom
! * theoretical density: 4.75 g/cm³
&SYSTEM
  ibrav = 0, nat = 5, ntyp = 4
/
ATOMIC_SPECIES
As 74.92 As.upf
Ga 69.72 Ga.upf
Br 79.90 Br.upf
Fe 55.84 Fe.upf
CELL_PARAMETERS angstrom
-3.856 -3.023 0.158
3.006 -3.793 0.781
-0.380 0.751 5.106
ATOMIC_POSITIONS crystal
As 0.500 0.000 0.000
Ga 0.000 0.000 0.000
As 0.000 0.500 0.000
Br 0.000 0.000 0.500
Fe 0.500 0.500 0.500

=====

Entry 4:
! AcTbNdSm3 PBE relaxed; values from VASP
! * crystal system: monoclinic
! * energy: -4.407 eV/atom
! * DOS(E_F): 1.46 states/eV/atom
! * ΔH_f (0 K): 20 kJ per mole of atoms
! * theoretical density: 7.53 g/cm³
&SYSTEM
  ibrav = 0, nat = 12, ntyp = 4
/
ATOMIC_SPECIES
Nd 144.24 Nd.upf
Tb 158.93 Tb.upf
Sm 150.36 Sm.upf
Ac 227.00 Ac.upf
CELL_PARAMETERS angstrom
5.837 0.000 0.000
-2.919 10.176 1.664
0.000 -1.263 7.081
ATOMIC_POSITIONS crystal
Nd 0.945 0.890 0.718
Tb 0.353 0.707 0.521
Sm 0.518 0.036 0.736
Sm 0.219 0.437 0.261
Sm 0.482 0.964 0.264
Sm 0.781 0.563 0.739
Nd 0.055 0.110 0.282
Ac 0.353 0.707 0.970
Tb 0.647 0.293 0.479
Ac 0.647 0.293 0.030
Sm 0.164 0.328 0.734
Sm 0.836 0.672 0.266

=====

Entry 5:
! AcEr2F PBE relaxed; values from VASP
! * crystal system: trigonal
! * energy: -4.647 eV/atom
! * DOS(E_F): 0.97 states/eV/atom
! * E_form (uncorrected): -870.4 meV per atom
! * theoretical density: 8.47 g/cm³
&SYSTEM
  ibrav = 0, nat = 4, ntyp = 3
/
ATOMIC_SPECIES
Ac 227.00 Ac.upf
F 19.00 F.upf
Er 167.26 Er.upf
CELL_PARAMETERS angstrom
-1.880 2.947 -1.183
-0.489 0.546 -3.617
-8.984 -3.927 -1.260
ATOMIC_POSITIONS crystal
Ac 0.000 0.000 0.000
F 0.500 0.500 0.500
Er 0.878 0.878 0.365
Er 0.122 0.122 0.635

=====

Entry 6:
! Tb8Th3 PBE relaxed; values from VASP
! * crystal system: trigonal
! * energy: -4.697 eV/atom
! * DOS(E_F): 1.97 states/eV/atom
! * excess energy over the best structure of this formula in the dataset: 221 meV/atom
! * ΔH_f (0 K): 67 kJ per mole of atoms
! * theoretical density: 8.70 g/cm³
&SYSTEM
  ibrav = 0, nat = 11, ntyp = 2
/
ATOMIC_SPECIES
Tb 158.93 Tb.upf
Th 232.04 Th.upf
CELL_PARAMETERS angstrom
7.239 0.249 0.243
0.433 7.230 0.243
0.433 0.422 7.222
ATOMIC_POSITIONS crystal
Tb 0.875 0.292 0.161
Th 0.000 0.500 0.500
Tb 0.161 0.875 0.292
Tb 0.125 0.708 0.839
Tb 0.292 0.161 0.875
Th 0.500 0.000 0.500
Th 0.500 0.500 0.000
Tb 0.386 0.386 0.386
Tb 0.614 0.614 0.614
Tb 0.708 0.839 0.125
Tb 0.839 0.125 0.708